--- one ---
A relaxed BaFe3Re crystal. Source: Alexandria, functional PBE.

```
data_BaFe3Re
_cell_length_a 4.7685
_cell_length_b 4.7685
_cell_length_c 4.7685
_cell_angle_alpha 90.00
_cell_angle_beta 90.00
_cell_angle_gamma 90.00
_space_group_name_H-M_alt 'P 1'
_space_group_IT_number 1
_space_group_name_Hall 'P 1'
loop_
_atom_site_label
_atom_site_type_symbol
_atom_site_fract_x
_atom_site_fract_y
_atom_site_fract_z
_atom_site_occupancy
Re1 Re 0.0000 0.0000 0.0000 1
Ba1 Ba 0.5000 0.5000 0.5000 1
Fe1 Fe 0.0000 0.5000 0.0000 1
Fe2 Fe 0.0000 0.0000 0.5000 1
Fe3 Fe 0.5000 0.0000 0.0000 1
```


--- two ---
A relaxed BaFe3Re crystal. Source: Alexandria, functional PBE.

```
data_BaFe3Re
_cell_length_a 4.5282
_cell_length_b 4.5282
_cell_length_c 4.5282
_cell_angle_alpha 90.00
_cell_angle_beta 90.00
_cell_angle_gamma 90.00
_space_group_name_H-M_alt 'P 1'
_space_group_IT_number 1
_space_group_name_Hall 'P 1'
loop_
_atom_site_label
_atom_site_type_symbol
_atom_site_fract_x
_atom_site_fract_y
_atom_site_fract_z
_atom_site_occupancy
Re1 Re 0.5000 0.5000 0.5000 1
Ba1 Ba 0.0000 0.0000 0.0000 1
Fe1 Fe 0.0000 0.5000 0.0000 1
Fe2 Fe 0.0000 0.0000 0.5000 1
Fe3 Fe 0.5000 0.0000 0.0000 1
```


Which of them is the least stable? Correct choice: two.


--- one ---
A relaxed Ba2FeReSn crystal. Source: Alexandria, functional PBE.

```
data_Ba2FeReSn
_cell_length_a 6.5488
_cell_length_b 4.8539
_cell_length_c 6.5488
_cell_angle_alpha 90.00
_cell_angle_beta 90.00
_cell_angle_gamma 90.00
_space_group_name_H-M_alt 'P 1'
_space_group_IT_number 1
_space_group_name_Hall 'P 1'
loop_
_atom_site_label
_atom_site_type_symbol
_atom_site_fract_x
_atom_site_fract_y
_atom_site_fract_z
_atom_site_occupancy
Fe1 Fe 0.0000 0.5000 0.0000 1
Re1 Re 0.5000 0.5000 0.5000 1
Ba1 Ba 0.0000 0.0000 0.5000 1
Ba2 Ba 0.5000 0.0000 0.0000 1
Sn1 Sn 0.0000 0.0000 0.0000 1
```


--- two ---
A relaxed Ba2FeReSn crystal. Source: Alexandria, functional PBE.

```
data_Ba2FeReSn
_cell_length_a 6.0980
_cell_length_b 4.3867
_cell_length_c 6.0980
_cell_angle_alpha 90.00
_cell_angle_beta 90.00
_cell_angle_gamma 90.00
_space_group_name_H-M_alt 'P 1'
_space_group_IT_number 1
_space_group_name_Hall 'P 1'
loop_
_atom_site_label
_atom_site_type_symbol
_atom_site_fract_x
_atom_site_fract_y
_atom_site_fract_z
_atom_site_occupancy
Fe1 Fe 0.0000 0.0000 0.0000 1
Re1 Re 0.0000 0.5000 0.0000 1
Ba1 Ba 0.0000 0.0000 0.5000 1
Ba2 Ba 0.5000 0.0000 0.0000 1
Sn1 Sn 0.5000 0.5000 0.5000 1
```


Which of them is the least stable? Correct choice: one.


--- one ---
A relaxed BaFeRh2 crystal. Source: Alexandria, functional PBE.

```
data_BaFeRh2
_cell_length_a 4.7755
_cell_length_b 4.7755
_cell_length_c 4.7755
_cell_angle_alpha 60.00
_cell_angle_beta 60.00
_cell_angle_gamma 60.00
_space_group_name_H-M_alt 'P 1'
_space_group_IT_number 1
_space_group_name_Hall 'P 1'
loop_
_atom_site_label
_atom_site_type_symbol
_atom_site_fract_x
_atom_site_fract_y
_atom_site_fract_z
_atom_site_occupancy
Rh1 Rh 0.2500 0.2500 0.2500 1
Rh2 Rh 0.7500 0.7500 0.7500 1
Ba1 Ba 0.5000 0.5000 0.5000 1
Fe1 Fe 0.0000 0.0000 0.0000 1
```


--- two ---
A relaxed BaFeRh2 crystal. Source: Alexandria, functional PBE.

```
data_BaFeRh2
_cell_length_a 7.6109
_cell_length_b 4.8340
_cell_length_c 3.3724
_cell_angle_alpha 89.90
_cell_angle_beta 63.84
_cell_angle_gamma 129.31
_space_group_name_H-M_alt 'P 1'
_space_group_IT_number 1
_space_group_name_Hall 'P 1'
loop_
_atom_site_label
_atom_site_type_symbol
_atom_site_fract_x
_atom_site_fract_y
_atom_site_fract_z
_atom_site_occupancy
Ba1 Ba 0.0000 0.5000 0.5000 1
Fe1 Fe 0.5000 0.5000 0.0000 1
Rh1 Rh 0.0000 0.0000 0.0000 1
Rh2 Rh 0.5000 0.0000 0.5000 1
```


--- three ---
A relaxed BaFeRh2 crystal. Source: Alexandria, functional PBE.

```
data_BaFeRh2
_cell_length_a 5.0414
_cell_length_b 5.0414
_cell_length_c 8.8019
_cell_angle_alpha 73.36
_cell_angle_beta 73.36
_cell_angle_gamma 90.00
_space_group_name_H-M_alt 'P 1'
_space_group_IT_number 1
_space_group_name_Hall 'P 1'
loop_
_atom_site_label
_atom_site_type_symbol
_atom_site_fract_x
_atom_site_fract_y
_atom_site_fract_z
_atom_site_occupancy
Rh1 Rh 0.3186 0.1250 0.2500 1
Rh2 Rh 0.4314 0.6250 0.2500 1
Rh3 Rh 0.3750 0.6814 0.7500 1
Rh4 Rh 0.8750 0.5686 0.7500 1
Ba1 Ba 0.0000 0.0000 0.0000 1
Ba2 Ba 0.7500 0.2500 0.5000 1
Fe1 Fe 0.5000 0.5000 0.0000 1
Fe2 Fe 0.2500 0.7500 0.5000 1
```


--- four ---
A relaxed BaFeRh2 crystal. Source: Alexandria, functional PBE.

```
data_BaFeRh2
_cell_length_a 4.3279
_cell_length_b 4.3279
_cell_length_c 6.1780
_cell_angle_alpha 69.46
_cell_angle_beta 69.46
_cell_angle_gamma 60.00
_space_group_name_H-M_alt 'P 1'
_space_group_IT_number 1
_space_group_name_Hall 'P 1'
loop_
_atom_site_label
_atom_site_type_symbol
_atom_site_fract_x
_atom_site_fract_y
_atom_site_fract_z
_atom_site_occupancy
Ba1 Ba 0.7500 0.7500 0.7500 1
Fe1 Fe 0.2500 0.2500 0.2500 1
Rh1 Rh 0.9426 0.9426 0.1723 1
Rh2 Rh 0.5574 0.5574 0.3277 1
```


Which of them is the least stable? Correct choice: two.


--- one ---
A relaxed BaFeRh2 crystal. Source: Alexandria, functional PBE.

```
data_BaFeRh2
_cell_length_a 4.7502
_cell_length_b 4.7502
_cell_length_c 4.7502
_cell_angle_alpha 120.00
_cell_angle_beta 120.00
_cell_angle_gamma 90.01
_space_group_name_H-M_alt 'P 1'
_space_group_IT_number 1
_space_group_name_Hall 'P 1'
loop_
_atom_site_label
_atom_site_type_symbol
_atom_site_fract_x
_atom_site_fract_y
_atom_site_fract_z
_atom_site_occupancy
Ba1 Ba 0.5000 0.5000 0.0000 1
Fe1 Fe 0.7500 0.2500 0.5000 1
Rh1 Rh 0.0000 0.0000 0.0000 1
Rh2 Rh 0.2500 0.7500 0.5000 1
```


--- two ---
A relaxed BaFeRh2 crystal. Source: Alexandria, functional PBE.

```
data_BaFeRh2
_cell_length_a 4.1238
_cell_length_b 3.2455
_cell_length_c 6.4017
_cell_angle_alpha 85.51
_cell_angle_beta 90.00
_cell_angle_gamma 90.00
_space_group_name_H-M_alt 'P 1'
_space_group_IT_number 1
_space_group_name_Hall 'P 1'
loop_
_atom_site_label
_atom_site_type_symbol
_atom_site_fract_x
_atom_site_fract_y
_atom_site_fract_z
_atom_site_occupancy
Ba1 Ba 0.0000 0.5865 0.4690 1
Fe1 Fe 0.5000 0.6586 0.9031 1
Rh1 Rh 0.0000 0.1435 0.9307 1
Rh2 Rh 0.5000 0.1114 0.1971 1
```


--- three ---
A relaxed BaFeRh2 crystal. Source: Alexandria, functional PBE.

```
data_BaFeRh2
_cell_length_a 5.5027
_cell_length_b 5.5027
_cell_length_c 5.5027
_cell_angle_alpha 144.90
_cell_angle_beta 120.71
_cell_angle_gamma 70.80
_space_group_name_H-M_alt 'P 1'
_space_group_IT_number 1
_space_group_name_Hall 'P 1'
loop_
_atom_site_label
_atom_site_type_symbol
_atom_site_fract_x
_atom_site_fract_y
_atom_site_fract_z
_atom_site_occupancy
Ba1 Ba 0.2500 0.7500 0.5000 1
Fe1 Fe 0.7500 0.2500 0.5000 1
Rh1 Rh 0.9525 0.9525 0.0000 1
Rh2 Rh 0.5475 0.5475 0.0000 1
```


Which of them is the least stable? Correct choice: one.


--- one ---
A relaxed BaFeRh2 crystal. Source: Alexandria, functional PBE.

```
data_BaFeRh2
_cell_length_a 5.8323
_cell_length_b 5.8323
_cell_length_c 5.8323
_cell_angle_alpha 148.65
_cell_angle_beta 127.96
_cell_angle_gamma 62.02
_space_group_name_H-M_alt 'P 1'
_space_group_IT_number 1
_space_group_name_Hall 'P 1'
loop_
_atom_site_label
_atom_site_type_symbol
_atom_site_fract_x
_atom_site_fract_y
_atom_site_fract_z
_atom_site_occupancy
Ba1 Ba 0.5025 0.5025 0.0000 1
Fe1 Fe 0.7947 0.2947 0.5000 1
Rh1 Rh 0.9865 0.9865 0.0000 1
Rh2 Rh 0.2163 0.7163 0.5000 1
```


--- two ---
A relaxed BaFeRh2 crystal. Source: Alexandria, functional PBE.

```
data_BaFeRh2
_cell_length_a 4.3830
_cell_length_b 4.3830
_cell_length_c 6.1674
_cell_angle_alpha 69.32
_cell_angle_beta 69.32
_cell_angle_gamma 59.98
_space_group_name_H-M_alt 'P 1'
_space_group_IT_number 1
_space_group_name_Hall 'P 1'
loop_
_atom_site_label
_atom_site_type_symbol
_atom_site_fract_x
_atom_site_fract_y
_atom_site_fract_z
_atom_site_occupancy
Ba1 Ba 0.5002 0.5002 0.5005 1
Fe1 Fe 0.3130 0.3130 0.0607 1
Rh1 Rh 0.0000 0.0000 0.9997 1
Rh2 Rh 0.6868 0.6868 0.9391 1
```


Which of them is the least stable? Correct choice: one.


--- one ---
A relaxed Ba2FeRu2 crystal. Source: Alexandria, functional PBE.

```
data_Ba2FeRu2
_cell_length_a 9.3531
_cell_length_b 9.3531
_cell_length_c 3.1681
_cell_angle_alpha 90.00
_cell_angle_beta 90.00
_cell_angle_gamma 90.00
_space_group_name_H-M_alt 'P 1'
_space_group_IT_number 1
_space_group_name_Hall 'P 1'
loop_
_atom_site_label
_atom_site_type_symbol
_atom_site_fract_x
_atom_site_fract_y
_atom_site_fract_z
_atom_site_occupancy
Ru1 Ru 0.0851 0.5851 0.5000 1
Ru2 Ru 0.5851 0.9149 0.5000 1
Ru3 Ru 0.9149 0.4149 0.5000 1
Ru4 Ru 0.4149 0.0851 0.5000 1
Ba1 Ba 0.3001 0.8001 0.0000 1
Ba2 Ba 0.8001 0.6999 0.0000 1
Ba3 Ba 0.6999 0.1999 0.0000 1
Ba4 Ba 0.1999 0.3001 0.0000 1
Fe1 Fe 0.0000 0.0000 0.0000 1
Fe2 Fe 0.5000 0.5000 0.0000 1
```


--- two ---
A relaxed Ba2FeRu2 crystal. Source: Alexandria, functional PBE.

```
data_Ba2FeRu2
_cell_length_a 3.5615
_cell_length_b 3.5615
_cell_length_c 10.6193
_cell_angle_alpha 80.35
_cell_angle_beta 80.35
_cell_angle_gamma 90.00
_space_group_name_H-M_alt 'P 1'
_space_group_IT_number 1
_space_group_name_Hall 'P 1'
loop_
_atom_site_label
_atom_site_type_symbol
_atom_site_fract_x
_atom_site_fract_y
_atom_site_fract_z
_atom_site_occupancy
Ru1 Ru 0.7500 0.2500 0.5000 1
Ru2 Ru 0.2500 0.7500 0.5000 1
Ba1 Ba 0.3896 0.3896 0.2209 1
Ba2 Ba 0.6104 0.6104 0.7791 1
Fe1 Fe 0.0000 0.0000 0.0000 1
```


Which of them is the least stable? Correct choice: one.


--- one ---
A relaxed BaFe3Ru crystal. Source: Alexandria, functional PBE.

```
data_BaFe3Ru
_cell_length_a 4.8110
_cell_length_b 4.8110
_cell_length_c 4.8110
_cell_angle_alpha 90.00
_cell_angle_beta 90.00
_cell_angle_gamma 90.00
_space_group_name_H-M_alt 'P 1'
_space_group_IT_number 1
_space_group_name_Hall 'P 1'
loop_
_atom_site_label
_atom_site_type_symbol
_atom_site_fract_x
_atom_site_fract_y
_atom_site_fract_z
_atom_site_occupancy
Ru1 Ru 0.0000 0.0000 0.0000 1
Ba1 Ba 0.5000 0.5000 0.5000 1
Fe1 Fe 0.0000 0.5000 0.0000 1
Fe2 Fe 0.0000 0.0000 0.5000 1
Fe3 Fe 0.5000 0.0000 0.0000 1
```


--- two ---
A relaxed BaFe3Ru crystal. Source: Alexandria, functional PBE.

```
data_BaFe3Ru
_cell_length_a 4.7734
_cell_length_b 4.7734
_cell_length_c 4.7734
_cell_angle_alpha 90.00
_cell_angle_beta 90.00
_cell_angle_gamma 90.00
_space_group_name_H-M_alt 'P 1'
_space_group_IT_number 1
_space_group_name_Hall 'P 1'
loop_
_atom_site_label
_atom_site_type_symbol
_atom_site_fract_x
_atom_site_fract_y
_atom_site_fract_z
_atom_site_occupancy
Ru1 Ru 0.5000 0.5000 0.5000 1
Ba1 Ba 0.0000 0.0000 0.0000 1
Fe1 Fe 0.0000 0.5000 0.0000 1
Fe2 Fe 0.0000 0.0000 0.5000 1
Fe3 Fe 0.5000 0.0000 0.0000 1
```


Which of them is the least stable? Correct choice: two.


--- one ---
A relaxed BaFe3Sb crystal. Source: Alexandria, functional PBE.

```
data_BaFe3Sb
_cell_length_a 4.8185
_cell_length_b 4.8185
_cell_length_c 4.8185
_cell_angle_alpha 90.00
_cell_angle_beta 90.00
_cell_angle_gamma 90.00
_space_group_name_H-M_alt 'P 1'
_space_group_IT_number 1
_space_group_name_Hall 'P 1'
loop_
_atom_site_label
_atom_site_type_symbol
_atom_site_fract_x
_atom_site_fract_y
_atom_site_fract_z
_atom_site_occupancy
Sb1 Sb 0.0000 0.0000 0.0000 1
Ba1 Ba 0.5000 0.5000 0.5000 1
Fe1 Fe 0.0000 0.5000 0.0000 1
Fe2 Fe 0.0000 0.0000 0.5000 1
Fe3 Fe 0.5000 0.0000 0.0000 1
```


--- two ---
A relaxed BaFe3Sb crystal. Source: Alexandria, functional PBE.

```
data_BaFe3Sb
_cell_length_a 4.9865
_cell_length_b 4.9865
_cell_length_c 4.9865
_cell_angle_alpha 90.00
_cell_angle_beta 90.00
_cell_angle_gamma 90.00
_space_group_name_H-M_alt 'P 1'
_space_group_IT_number 1
_space_group_name_Hall 'P 1'
loop_
_atom_site_label
_atom_site_type_symbol
_atom_site_fract_x
_atom_site_fract_y
_atom_site_fract_z
_atom_site_occupancy
Sb1 Sb 0.5000 0.5000 0.5000 1
Ba1 Ba 0.0000 0.0000 0.0000 1
Fe1 Fe 0.0000 0.5000 0.0000 1
Fe2 Fe 0.0000 0.0000 0.5000 1
Fe3 Fe 0.5000 0.0000 0.0000 1
```


Which of them is the least stable? Correct choice: two.